Material: NaTa2O
Method: DFT, PBE-GGA
State: relaxed

a = 6.0346 Å, b = 6.0346 Å, c = 6.0346 Å
α = 114.40°, β = 114.40°, γ = 100.01°
Sites, in units of the cell vectors:
Na 0.0000 0.0000 0.0000
Na 0.7500 0.2500 0.5000
Ta 0.2880 0.1250 0.6630
Ta 0.3750 0.7120 0.8370
Ta 0.4620 0.6250 0.3370
Ta 0.8750 0.5380 0.1630
O 0.2500 0.7500 0.5000
O 0.5000 0.5000 0.0000

## Properties
* energy: -7.38 eV/atom
* uncorrected formation energy: 119 meV/atom